NdDy3Ru | the Alexandria database | PBE | relaxed; Fermi-level density of states = 8.4 states/eV/cell; space group = Pm-3m (221); energy of formation from the pure elements = -7.67 kJ/mol of atoms; total magnetic moment = 0.72 μB per cell
1.0
5.408 0.000 0.000
0.000 5.408 0.000
0.000 0.000 5.408
Nd Dy Ru
1 3 1
Direct
0.000 0.000 0.000
0.000 0.500 0.500
0.500 0.000 0.500
0.500 0.500 0.000
0.500 0.500 0.500